No. 1
DFT (PBE-GGA) results for a relaxed structure of NbIr2Os.

a b c (Å): 9.449 9.449 9.449
angles (deg): 156.47 156.47 33.51
Positions (direct):
Nb (0.000, 0.000, 0.000)
Nb (0.750, 0.250, 0.500)
Ir (0.141, 0.625, 0.016)
Ir (0.375, 0.391, 0.516)
Ir (0.609, 0.125, 0.984)
Ir (0.875, 0.859, 0.484)
Os (0.250, 0.750, 0.500)
Os (0.500, 0.500, 0.000)

The calculation puts the relative energy among the computed polymorphs at 759.2 meV per atom. For the formation energy, the calculation gives 325 meV per atom. For the total moment, the calculation gives 0.00 Bohr magnetons per cell. Its symmetry is I-42d (122). The crystal system is tetragonal. As for the uncorrected energy: -9.430 eV per atom.

=====

No. 2
DFT (PBE-GGA) results for a relaxed structure of Nb3IrOs3.

a b c (Å): 6.141 6.141 6.334
angles (deg): 90.00 90.00 90.46
Positions (direct):
Nb (0.000, 0.000, 0.249)
Nb (0.000, 0.000, 0.751)
Nb (0.000, 0.500, 0.247)
Nb (0.000, 0.500, 0.753)
Nb (0.500, 0.000, 0.247)
Nb (0.500, 0.000, 0.753)
Ir (0.267, 0.267, 0.500)
Ir (0.733, 0.733, 0.500)
Os (0.261, 0.261, 0.000)
Os (0.261, 0.739, 0.000)
Os (0.261, 0.739, 0.500)
Os (0.739, 0.261, 0.000)
Os (0.739, 0.261, 0.500)
Os (0.739, 0.739, 0.000)

For the formation energy, the calculation gives 18 meV per atom. For the total moment, the calculation gives 0.00 Bohr magnetons per cell. Its symmetry is Cmmm (65). The crystal system is orthorhombic. As for the uncorrected energy: -10.377 eV per atom.

=====

No. 3
DFT (PBE-GGA) results for a relaxed structure of Nb2IrOs.

a b c (Å): 2.943 3.758 5.875
angles (deg): 90.00 90.00 90.00
Positions (direct):
Nb (0.000, 0.000, 0.248)
Nb (0.000, 0.000, 0.752)
Ir (0.500, 0.500, 0.500)
Os (0.500, 0.500, 0.000)

The calculation puts the relative energy among the computed polymorphs at 9.4 meV per atom. For the formation energy, the calculation gives -282 meV per atom. For the total moment, the calculation gives 0.00 Bohr magnetons per cell. Its symmetry is Pmmm (47). The crystal system is orthorhombic. As for the uncorrected energy: -10.340 eV per atom.